Below is crystalline TaAl2V2 at its relaxed geometry, with properties calculated at the PBE level.

Summary:
ΔH_f (0 K)	0.043	eV/atom

Lattice parameters (Å, degrees): 7.5221 7.5221 2.7384 90.00 90.00 90.00
With the nearest neighbours (Å) after each atom.
Element x y z (fractional)
Ta  0.0000  0.0000  0.0000  2 Ta 2.74, 4 V 3.04
Ta  0.5000  0.5000  0.0000  2 Ta 2.74, 4 V 3.04
Al  0.1843  0.3157  0.5000  6 V 2.57-2.67, 2 Al 2.74
Al  0.3157  0.8157  0.5000  6 V 2.57-2.67, 2 Al 2.74
Al  0.6843  0.1843  0.5000  6 V 2.57-2.67, 2 Al 2.74
Al  0.8157  0.6843  0.5000  6 V 2.57-2.67, 2 Al 2.74
V  0.1107  0.6107  0.0000  1 V 2.36, 2 Al 2.57
V  0.3893  0.1107  0.0000  1 V 2.36, 2 Al 2.57
V  0.6107  0.8893  0.0000  1 V 2.36, 2 Al 2.57
V  0.8893  0.3893  0.0000  1 V 2.36, 2 Al 2.57